Computed, not measured: a relaxed MnBePCl2 crystal at the PBE level of DFT.

The space group is P4/mmm (No. 123) and the conventional cell measures 4.660, 4.660 and 4.444 Å, with angles of 90.00, 90.00 and 90.00 degrees. The distinct sites, in fractional coordinates, are Mn at (0.000, 0.000, 0.000), Be at (0.500, 0.500, 0.500), P at (0.000, 0.000, 0.500) and Cl at (0.000, 0.500, 0.000).

Its mass density is 2.854 g/cm3. The calculation puts the volume at 96 Å³ per cell. For the formation energy from raw total energies, the calculation gives 0.58 eV per atom. As for the crystal system: tetragonal. The value obtained for the energy above the most stable polymorph in this dataset is 510 meV/atom.

=====

Computed, not measured: a relaxed Re2Cl crystal at the PBE level of DFT.

The space group is Fm-3m (No. 225) and the conventional cell measures 5.717, 5.717 and 5.717 Å, with angles of 90.00, 90.00 and 90.00 degrees. The distinct sites, in fractional coordinates, are Re at (0.250, 0.250, 0.250) and Cl at (0.000, 0.000, 0.000).

Its mass density is 14.500 g/cm3. The calculation puts the volume at 187 Å³ per cell. For the formation energy from raw total energies, the calculation gives 2.03 eV per atom. As for the crystal system: cubic. The value obtained for the energy above the most stable polymorph in this dataset is 1848 meV/atom.

=====

Computed, not measured: a relaxed CsCuSbI2 crystal at the PBE level of DFT.

The space group is P4/mmm (No. 123) and the conventional cell measures 6.892, 6.892 and 6.477 Å, with angles of 90.00, 90.00 and 90.00 degrees. The distinct sites, in fractional coordinates, are Cs at (0.000, 0.000, 0.000), Cu at (0.500, 0.500, 0.500), Sb at (0.000, 0.000, 0.500) and I at (0.000, 0.500, 0.000).

Its mass density is 3.087 g/cm3. The calculation puts the volume at 308 Å³ per cell. For the formation energy from raw total energies, the calculation gives 0.87 eV per atom. As for the crystal system: tetragonal. The value obtained for the energy above the most stable polymorph in this dataset is 1150 meV/atom.

=====

Computed, not measured: a relaxed PmPrCdOs crystal at the PBE level of DFT.

The space group is F-43m (No. 216) and the conventional cell measures 7.331, 7.331 and 7.331 Å, with angles of 90.00, 90.00 and 90.00 degrees. The distinct sites, in fractional coordinates, are Pm at (0.000, 0.000, 0.000), Pr at (0.000, 0.000, 0.500), Cd at (0.250, 0.250, 0.750) and Os at (0.250, 0.250, 0.250).

Its mass density is 9.923 g/cm3. The calculation puts the volume at 394 Å³ per cell. For the formation energy, the calculation gives -53 meV/atom. As for the crystal system: cubic.

=====

Computed, not measured: a relaxed Tc2Pt3Rh3 crystal at the PBE level of DFT.

The space group is R32 (No. 155, hexagonal axes) and the conventional cell measures 7.2837, 7.2837 and 7.9495 Å, with angles of 90.00, 90.00 and 120.00 degrees. The distinct sites, in fractional coordinates, are Tc at (0.0000, 0.0000, 0.2312), Pt at (0.0000, 0.2695, 0.5000) and Rh at (0.0000, 0.7067, 0.0000).

Its mass density is 14.867 g/cm3. The calculation puts the volume at 365 Å³ per cell. For the formation energy, the calculation gives 75 meV/atom. As for the crystal system: trigonal. The value obtained for the energy above the most stable polymorph in this dataset is 0 meV/atom.

=====

Computed, not measured: a relaxed ZrIn2Co crystal at the PBE level of DFT.

The space group is Fm-3m (No. 225) and the conventional cell measures 6.729, 6.729 and 6.729 Å, with angles of 90.00, 90.00 and 90.00 degrees. The distinct sites, in fractional coordinates, are Zr at (0.000, 0.000, 0.000), In at (0.250, 0.250, 0.250) and Co at (0.000, 0.000, 0.500).

Its mass density is 8.279 g/cm3. The calculation puts the volume at 305 Å³ per cell. For the formation energy, the calculation gives 109 meV/atom. As for the crystal system: cubic.

=====

Computed, not measured: a relaxed Zr3TcPd2 crystal at the PBE level of DFT.

The space group is P4/mmm (No. 123) and the conventional cell measures 3.282, 3.282 and 10.332 Å, with angles of 90.00, 90.00 and 90.00 degrees. The distinct sites, in fractional coordinates, are Zr at (0.000, 0.000, 0.000), Zr at (0.000, 0.000, 0.345), Tc at (0.500, 0.500, 0.500) and Pd at (0.500, 0.500, 0.176).

Its mass density is 8.719 g/cm3. The calculation puts the volume at 111 Å³ per cell. For the formation energy, the calculation gives -579 meV/atom. As for the crystal system: tetragonal.

=====

Computed, not measured: a relaxed Y3MnPd12 crystal at the PBE level of DFT.

The space group is P4/mmm (No. 123) and the conventional cell measures 4.094, 4.094 and 16.239 Å, with angles of 90.00, 90.00 and 90.00 degrees. The distinct sites, in fractional coordinates, are Y at (0.000, 0.000, 0.000), Y at (0.000, 0.000, 0.257), Mn at (0.000, 0.000, 0.500), Pd at (0.000, 0.500, 0.129), Pd at (0.000, 0.500, 0.386), Pd at (0.500, 0.500, 0.000), Pd at (0.500, 0.500, 0.257) and Pd at (0.500, 0.500, 0.500).

Its mass density is 9.751 g/cm3. The calculation puts the volume at 272 Å³ per cell. For the formation energy, the calculation gives -677 meV/atom. As for the crystal system: tetragonal.

=====

Computed, not measured: a relaxed BaVH crystal at the PBE level of DFT.

The space group is P1 (No. 1) and the conventional cell measures 4.208, 5.913 and 6.272 Å, with angles of 112.92, 101.23 and 104.21 degrees. The distinct sites, in fractional coordinates, are Ba at (0.000, 0.000, 0.000), Ba at (0.306, 0.331, 0.647), V at (0.450, 0.709, 0.315), V at (0.811, 0.572, 0.298), H at (0.006, 0.517, 0.034) and H at (0.678, 0.255, 0.322).

Its mass density is 4.771 g/cm3. The calculation puts the volume at 132 Å³ per cell. As for the crystal system: triclinic. The value obtained for the energy above the most stable polymorph in this dataset is 56 meV/atom.

=====

Computed, not measured: a relaxed ZnIn2Sb2 crystal at the PBE level of DFT.

The space group is I4/mmm (No. 139) and the conventional cell measures 4.886, 4.886 and 13.436 Å, with angles of 90.00, 90.00 and 90.00 degrees. The distinct sites, in fractional coordinates, are Zn at (0.000, 0.000, 0.000), In at (0.000, 0.500, 0.250) and Sb at (0.000, 0.000, 0.380).

Its mass density is 5.576 g/cm3. The calculation puts the volume at 321 Å³ per cell. For the formation energy from raw total energies, the calculation gives 0.21 eV per atom. As for the crystal system: tetragonal. The value obtained for the energy above the most stable polymorph in this dataset is 54 meV/atom.

=====

Computed, not measured: a relaxed SrAg2Te crystal at the PBE level of DFT.

The space group is C2/m (No. 12) and the conventional cell measures 12.076, 4.421 and 4.850 Å, with angles of 90.00, 96.66 and 90.00 degrees. The distinct sites, in fractional coordinates, are Sr at (0.000, 0.000, 0.000), Ag at (0.209, 0.500, 0.842) and Te at (0.000, 0.500, 0.500).

Its mass density is 5.565 g/cm3. The calculation puts the volume at 257 Å³ per cell. For the formation energy from raw total energies, the calculation gives -0.43 eV per atom. As for the crystal system: monoclinic. The value obtained for the energy above the most stable polymorph in this dataset is 69 meV/atom.

=====

Computed, not measured: a relaxed Pd3PbC crystal at the PBE level of DFT.

The space group is Pm-3m (No. 221) and the conventional cell measures 4.297, 4.297 and 4.297 Å, with angles of 90.00, 90.00 and 90.00 degrees. The distinct sites, in fractional coordinates, are Pd at (0.000, 0.000, 0.500), Pb at (0.500, 0.500, 0.500) and C at (0.000, 0.000, 0.000).

Its mass density is 11.271 g/cm3. The calculation puts the volume at 79 Å³ per cell. For the formation energy, the calculation gives 201 meV/atom. As for the crystal system: cubic. The value obtained for the energy above the most stable polymorph in this dataset is 0 meV/atom.

=====

Computed, not measured: a relaxed As4W crystal at the PBE level of DFT.

The space group is I4/mmm (No. 139) and the conventional cell measures 3.426, 3.426 and 17.967 Å, with angles of 90.00, 90.00 and 90.00 degrees. The distinct sites, in fractional coordinates, are As at (0.000, 0.000, 0.074), As at (0.000, 0.500, 0.250) and W at (0.000, 0.000, 0.500).

Its mass density is 7.615 g/cm3. The calculation puts the volume at 211 Å³ per cell. For the formation energy, the calculation gives 494 meV/atom. As for the crystal system: tetragonal.